PBE-GGA Pr3Sm3ErSe8, optimized geometry; SG = R-3m (166); E_tot = -5.93 eV/atom; Fermi-level density of states = 0.47 states/eV per atom; formation energy (no corrections) = -2702 kJ/mol of formula units
1.0
-7.8558 1.0557 2.7008
1.8203 -6.2791 -5.2325
2.7036 -0.2749 7.9711
Pr Se Sm Er
3 8 3 1
Direct
0.5000 0.5000 0.0000
0.0000 0.5000 0.0000
0.0000 0.0000 0.0000
0.2494 0.0049 0.2605
0.7556 0.0049 0.2605
0.7506 0.9951 0.7395
0.2445 0.4889 0.7395
0.2525 0.5051 0.2577
0.2444 0.9951 0.7395
0.7475 0.4949 0.7423
0.7555 0.5111 0.2605
0.5000 0.0000 0.5000
0.0000 0.5000 0.5000
0.5000 0.5000 0.5000
0.0000 0.0000 0.5000